Density functional theory data (GGA-PBE) for crystalline DyScAl2 at its relaxed geometry.

Properties
mass density: 4.70 g/cm³
ΔH_f (0 K): -0.17 eV/atom

a = 3.4099 Å, b = 3.4099 Å, c = 9.3858 Å
α = 79.53°, β = 79.53°, γ = 60.00°
Fractional positions:
Sc: 0.0000 0.0000 0.0000
Al: 0.7462 0.7462 0.7613
Al: 0.2538 0.2538 0.2387
Dy: 0.5000 0.5000 0.5000